[1]
MnBe3Co4: relaxed, PBE.

Results
DFT total energy ... -6.329 eV per atom
DOS(E_F) ... 4.908 states/eV/cell
Energy relative to the elements ... -0.23 eV per atom

Cell lengths 3.733, 3.733, 5.362 Å; angles 90.00, 90.00, 90.00 degrees
Space group P4/mmm (No. 123)
Asymmetric unit:
Mn 0.000 0.000 0.000 [1 per cell]
Be 0.000 0.000 0.500 [1 per cell]
Be 0.500 0.500 0.000 [1 per cell]
Be 0.500 0.500 0.500 [1 per cell]
Co 0.000 0.500 0.261 [4 per cell]

[2]
Mn4BeCo: relaxed, PBE.

Results
DFT total energy ... -7.591 eV per atom
DOS(E_F) ... 35.193 states/eV/cell
Energy relative to the elements ... 0.33 eV per atom

Cell lengths 6.427, 6.427, 6.427 Å; angles 90.00, 90.00, 90.00 degrees
Space group F-43m (No. 216)
Asymmetric unit:
Mn 0.125 0.125 0.125 [16 per cell]
Be 0.250 0.250 0.750 [4 per cell]
Co 0.000 0.000 0.500 [4 per cell]